Record 1
BaLiCd | PBE-GGA | relaxed

Calculated values
Total energy in eV/atom: -1.767
Symmetry: No. 187
E above lowest polymorph in eV per atom: 0.020

Cell: 5.1675 5.1675 4.4558 Å, 90.00 90.00 120.00°
Closest atoms and distances in Å follow each position.
Sites, in units of the cell vectors:
Ba 0.0000 0.0000 0.0000  6 Cd 3.72, 6 Li 3.72
Li 0.3333 0.6667 0.5000  3 Cd 2.98
Cd 0.6667 0.3333 0.5000  3 Li 2.98



Record 2
TlCoCu2 | PBE-GGA | relaxed

Calculated values
Total energy in eV/atom: -4.024
Symmetry: No. 12
E above lowest polymorph in eV per atom: 0.052

Cell: 5.0881 5.0881 4.3324 Å, 112.91 112.91 34.91°
Closest atoms and distances in Å follow each position.
Sites, in units of the cell vectors:
Tl 0.0000 0.0000 0.0000  4 Co 2.65, 6 Cu 2.82-2.94
Co 0.5000 0.5000 0.5000  4 Cu 2.57, 4 Tl 2.65
Cu 0.2327 0.2327 0.7296  2 Co 2.57, 4 Cu 2.64-2.70, 2 Tl 2.82
Cu 0.7673 0.7673 0.2704  2 Co 2.57, 4 Cu 2.64-2.70, 2 Tl 2.82



Record 3
PmPr5Nd2Ho | PBE-GGA | relaxed

Calculated values
Total energy in eV/atom: -4.480
Symmetry: No. 140

Cell: 10.2993 10.2993 10.2993 Å, 128.97 128.97 75.05°
Closest atoms and distances in Å follow each position.
Sites, in units of the cell vectors:
Pm 0.2500 0.2500 0.0000  8 Pr 3.64
Pm 0.7500 0.7500 0.0000  8 Pr 3.64
Pr 0.0000 0.0000 0.0000  4 Nd 3.54, 8 Pr 3.92
Pr 0.0714 0.5714 0.9245  1 Nd 3.13, 1 Ho 3.21
Pr 0.1469 0.0714 0.5000  1 Nd 3.13, 1 Ho 3.21
Pr 0.3531 0.8531 0.9245  1 Nd 3.13, 1 Ho 3.21
Pr 0.4286 0.3531 0.5000  1 Nd 3.13, 1 Ho 3.21
Pr 0.5000 0.5000 0.0000  4 Nd 3.54, 8 Pr 3.92
Pr 0.5714 0.6469 0.5000  1 Nd 3.13, 1 Ho 3.21
Pr 0.6469 0.1469 0.0755  1 Nd 3.13, 1 Ho 3.21
Pr 0.8531 0.9286 0.5000  1 Nd 3.13, 1 Ho 3.21
Pr 0.9286 0.4286 0.0755  1 Nd 3.13, 1 Ho 3.21
Nd 0.1184 0.3816 0.5000  1 Nd 2.97, 2 Pr 3.13
Nd 0.3816 0.8816 0.2632  1 Nd 2.97, 2 Pr 3.13
Nd 0.6184 0.1184 0.7368  1 Nd 2.97, 2 Pr 3.13
Nd 0.8816 0.6184 0.5000  1 Nd 2.97, 2 Pr 3.13
Ho 0.2500 0.7500 0.5000  4 Pr 3.21
Ho 0.7500 0.2500 0.5000  4 Pr 3.21



Record 4
Al2NCl | PBE-GGA | relaxed

Calculated values
Total energy in eV/atom: -4.737
ΔE_f (raw) in eV per atom: -0.322
Symmetry: No. 122
E above lowest polymorph in eV per atom: 0.000

Cell: 6.5815 6.5815 6.5815 Å, 134.45 134.45 66.38°
Closest atoms and distances in Å follow each position.
Sites, in units of the cell vectors:
Al 0.3750 0.2170 0.3420  2 N 1.93
Al 0.7830 0.1250 0.1580  2 N 1.93
Al 0.8750 0.0330 0.6580  2 N 1.93
Al 0.9670 0.6250 0.8420  2 N 1.93
N 0.0000 0.0000 0.0000  4 Al 1.93
N 0.7500 0.2500 0.5000  4 Al 1.93
Cl 0.2500 0.7500 0.5000  4 Al 2.80
Cl 0.5000 0.5000 0.0000  4 Al 2.80



Record 5
Sm3Ag2Rh | PBE-GGA | relaxed

Calculated values
Total energy in eV/atom: -4.842
Symmetry: No. 15
E above lowest polymorph in eV per atom: 0.117

Cell: 7.7158 7.7158 8.0382 Å, 105.08 105.08 45.16°
Closest atoms and distances in Å follow each position.
Sites, in units of the cell vectors:
Sm 0.0003 0.9997 0.2500  2 Rh 2.96, 4 Ag 3.18-3.19
Sm 0.9997 0.0003 0.7500  2 Rh 2.96, 4 Ag 3.18-3.19
Sm 0.3582 0.3602 0.9297  2 Rh 2.78, 2 Ag 3.01
Sm 0.3602 0.3582 0.4297  2 Rh 2.78, 2 Ag 3.01
Sm 0.6398 0.6418 0.5703  2 Rh 2.78, 2 Ag 3.01
Sm 0.6418 0.6398 0.0703  2 Rh 2.78, 2 Ag 3.01
Ag 0.1797 0.1818 0.5901  6 Sm 3.01-3.19
Ag 0.1818 0.1797 0.0901  6 Sm 3.01-3.19
Ag 0.8182 0.8203 0.9099  6 Sm 3.01-3.19
Ag 0.8203 0.8182 0.4099  6 Sm 3.01-3.19
Rh 0.5003 0.4997 0.2500  6 Sm 2.78-2.96
Rh 0.4997 0.5003 0.7500  6 Sm 2.78-2.96



Record 6
Tl2TeICl | PBE-GGA | relaxed

Calculated values
Total energy in eV/atom: -2.324
ΔE_f (raw) in eV per atom: -0.070
Symmetry: No. 123

Cell: 6.0838 6.0838 5.5754 Å, 90.00 90.00 90.00°
Closest atoms and distances in Å follow each position.
Sites, in units of the cell vectors:
Tl 0.0000 0.5000 0.0000  2 Cl 3.04
Tl 0.5000 0.0000 0.0000  2 Cl 3.04
Te 0.0000 0.0000 0.5000  8 Tl 4.13, 4 I 4.30
I 0.5000 0.5000 0.5000  2 Cl 2.79
Cl 0.5000 0.5000 0.0000  2 I 2.79, 4 Tl 3.04



Record 7
Dy12Cd6Ni | PBE-GGA | relaxed

Calculated values
Total energy in eV/atom: -3.592
Symmetry: No. 148

Cell: 8.2148 8.2148 8.2148 Å, 94.35 94.35 94.35°
Closest atoms and distances in Å follow each position.
Sites, in units of the cell vectors:
Dy 0.0404 0.9295 0.7032  4 Cd 3.09-3.27
Dy 0.0705 0.2968 0.9596  4 Cd 3.09-3.27
Dy 0.1871 0.4041 0.5224  1 Ni 2.65
Dy 0.2968 0.9596 0.0705  4 Cd 3.09-3.27
Dy 0.4041 0.5224 0.1871  1 Ni 2.65
Dy 0.4776 0.8129 0.5959  1 Ni 2.65
Dy 0.5224 0.1871 0.4041  1 Ni 2.65
Dy 0.5959 0.4776 0.8129  1 Ni 2.65
Dy 0.7032 0.0404 0.9295  4 Cd 3.09-3.27
Dy 0.8129 0.5959 0.4776  1 Ni 2.65
Dy 0.9295 0.7032 0.0404  4 Cd 3.09-3.27
Dy 0.9596 0.0705 0.2968  4 Cd 3.09-3.27
Cd 0.1555 0.7605 0.3619  8 Dy 3.09-3.32
Cd 0.2395 0.6381 0.8445  8 Dy 3.09-3.32
Cd 0.3619 0.1555 0.7605  8 Dy 3.09-3.32
Cd 0.6381 0.8445 0.2395  8 Dy 3.09-3.32
Cd 0.7605 0.3619 0.1555  8 Dy 3.09-3.32
Cd 0.8445 0.2395 0.6381  8 Dy 3.09-3.32
Ni 0.5000 0.5000 0.5000  6 Dy 2.65



Record 8
BePPtAu2 | PBE-GGA | relaxed

Calculated values
Total energy in eV/atom: -3.948
Symmetry: No. 123

Cell: 4.4146 4.4146 4.2765 Å, 90.00 90.00 90.00°
Closest atoms and distances in Å follow each position.
Sites, in units of the cell vectors:
Be 0.0000 0.0000 0.0000  2 Pt 2.14, 4 Au 2.21
P 0.5000 0.5000 0.5000  8 Au 3.07, 4 Pt 3.12
Pt 0.0000 0.0000 0.5000  2 Be 2.14
Au 0.0000 0.5000 0.0000  2 Be 2.21
Au 0.5000 0.0000 0.0000  2 Be 2.21



Record 9
KLiAl | PBE-GGA | relaxed

Calculated values
Total energy in eV/atom: -1.891
Symmetry: No. 156
E above lowest polymorph in eV per atom: 0.363

Cell: 3.4374 3.4374 8.3842 Å, 90.00 90.00 120.00°
Closest atoms and distances in Å follow each position.
Sites, in units of the cell vectors:
K 0.0000 0.0000 0.0000  6 K 3.44, 3 Al 3.56
Li 0.6667 0.3333 0.4003  3 Al 2.87
Al 0.3333 0.6667 0.6472  3 Li 2.87



Record 10
MnAg | PBE-GGA | relaxed

Calculated values
Total energy in eV/atom: -5.303
Symmetry: No. 225

Cell: 3.7990 3.7990 3.7990 Å, 60.00 60.00 60.00°
Closest atoms and distances in Å follow each position.
Sites, in units of the cell vectors:
Mn 0.0000 0.0000 0.0000  6 Ag 2.69
Ag 0.5000 0.5000 0.5000  6 Mn 2.69



Record 11
La8Pr3Nd3 | PBE-GGA | relaxed

Calculated values
Total energy in eV/atom: -4.776
Symmetry: No. 71

Cell: 10.0537 10.0537 10.0537 Å, 146.21 113.03 77.16°
Closest atoms and distances in Å follow each position.
Sites, in units of the cell vectors:
La 0.0569 0.3945 0.6624  5 La 3.31-3.60
La 0.0694 0.2269 0.8425  6 La 3.31-3.64
La 0.2678 0.6055 0.6624  5 La 3.31-3.60
La 0.3844 0.2269 0.1575  6 La 3.31-3.64
La 0.6156 0.7731 0.8425  6 La 3.31-3.64
La 0.7322 0.3945 0.3376  5 La 3.31-3.60
La 0.9306 0.7731 0.1575  6 La 3.31-3.64
La 0.9431 0.6055 0.3376  5 La 3.31-3.60
Pr 0.0000 0.0000 0.0000  2 Pr 3.37
Pr 0.3040 0.0000 0.3040  1 Pr 3.37, 4 Nd 3.56-3.64, 4 La 3.71
Pr 0.6960 0.0000 0.6960  1 Pr 3.37, 4 Nd 3.56-3.64, 4 La 3.71
Nd 0.3211 0.8211 0.5000  2 Pr 3.56, 8 La 3.71-3.87
Nd 0.5000 0.5000 0.0000  4 Pr 3.64, 4 Nd 4.06
Nd 0.6789 0.1789 0.5000  2 Pr 3.56, 8 La 3.71-3.87